# SrTbIn

A geometry-optimized SrTbIn structure (PBE, Alexandria).

theoretical density: 5.784 Mg/m³
E: -3.235 eV/atom
relative energy among the computed polymorphs: 0.084 eV/atom
energy relative to the elements: -0.65 eV/f.u.

abc: 3.880 3.880 7.416
angles: 105.17 105.17 90.00
Positions (direct):
In 0.965 0.965 0.930
Sr 0.301 0.301 0.602
Tb 0.584 0.584 0.168